[1]
The following is a DFT calculation (GGA-PBE) of crystalline K2NaTe2O6 at its relaxed geometry.

Values from the calculation:
The calculation puts the formation energy from raw total energies at -1.24 eV/atom. The density of states at the Fermi level comes out at 0.206 states/eV per atom. The final energy comes out at -4.836 eV per atom. The value obtained for the calculated volume is 215.7 Å³/f.u. The total magnetization is 1.945 Bohr magnetons per cell.

CIF file:
```
data_K2NaTe2O6
_chemical_formula_sum 'K4 Na2 Te4 O12'
_symmetry_space_group_name_H-M 'C 1 2/m 1'
_symmetry_Int_Tables_number 12
_symmetry_space_group_name_Hall '-C 2y'
_cell_length_a 9.895
_cell_length_b 6.194
_cell_length_c 7.681
_cell_angle_alpha 90.00
_cell_angle_beta 113.56
_cell_angle_gamma 90.00
loop_
_atom_site_label
_atom_site_fract_x
_atom_site_fract_y
_atom_site_fract_z
_atom_site_occupancy
K1 0.186 0.000 0.094 1
Na1 0.000 0.000 0.500 1
Te1 0.084 0.500 0.280 1
O1 0.043 0.260 0.783 1
O2 0.181 0.500 0.543 1
```

[2]
The following is a DFT calculation (GGA-PBE) of crystalline Pa2SiO8 at its relaxed geometry.

Values from the calculation:
The calculation puts the formation energy from raw total energies at -2.66 eV/atom. The density of states at the Fermi level comes out at 0.154 states/eV per atom. The final energy comes out at -8.490 eV per atom. The value obtained for the calculated volume is 154.4 Å³/f.u. The total magnetization is 2.047 Bohr magnetons per cell.

CIF file:
```
data_Pa2SiO8
_chemical_formula_sum 'Pa2 Si1 O8'
_symmetry_space_group_name_H-M 'P -1'
_symmetry_Int_Tables_number 2
_symmetry_space_group_name_Hall '-P 1'
_cell_length_a 5.146
_cell_length_b 5.172
_cell_length_c 6.386
_cell_angle_alpha 73.77
_cell_angle_beta 82.29
_cell_angle_gamma 71.36
loop_
_atom_site_label
_atom_site_fract_x
_atom_site_fract_y
_atom_site_fract_z
_atom_site_occupancy
Pa1 0.060 0.165 0.228 1
Si1 0.500 0.500 0.000 1
O1 0.033 0.781 0.448 1
O2 0.235 0.417 0.901 1
O3 0.249 0.815 0.040 1
O4 0.464 0.261 0.253 1
```

[3]
The following is a DFT calculation (GGA-PBE) of crystalline Mn2CoIr at its relaxed geometry.

Values from the calculation:
The density of states at the Fermi level comes out at 1.146 states/eV per atom. The calculation puts the formation energy at -134.9 meV/atom. The final energy comes out at -8.711 eV per atom. The value obtained for the calculated volume is 49.2 Å³/f.u. The total magnetization is 1.165 Bohr magnetons per cell.

CIF file:
```
data_Mn2CoIr
_chemical_formula_sum 'Mn4 Co2 Ir2'
_symmetry_space_group_name_H-M 'I -4 m 2'
_symmetry_Int_Tables_number 119
_symmetry_space_group_name_Hall 'I -4 -2'
_cell_length_a 3.659
_cell_length_b 3.659
_cell_length_c 7.350
_cell_angle_alpha 90.00
_cell_angle_beta 90.00
_cell_angle_gamma 90.00
loop_
_atom_site_label
_atom_site_fract_x
_atom_site_fract_y
_atom_site_fract_z
_atom_site_occupancy
Mn1 0.000 0.000 0.000 1
Mn2 0.000 0.500 0.250 1
Co1 0.000 0.500 0.750 1
Ir1 0.000 0.000 0.500 1
```

[4]
The following is a DFT calculation (GGA-PBE) of crystalline KMn2Pt at its relaxed geometry.

Values from the calculation:
The density of states at the Fermi level comes out at 0.889 states/eV per atom. The calculation puts the formation energy at 754.6 meV/atom. The final energy comes out at -5.615 eV per atom. The value obtained for the calculated volume is 78.4 Å³/f.u. The total magnetization is 17.491 Bohr magnetons per cell.

CIF file:
```
data_KMn2Pt
_chemical_formula_sum 'K2 Mn4 Pt2'
_symmetry_space_group_name_H-M 'I -4 m 2'
_symmetry_Int_Tables_number 119
_symmetry_space_group_name_Hall 'I -4 -2'
_cell_length_a 4.132
_cell_length_b 4.132
_cell_length_c 9.184
_cell_angle_alpha 90.00
_cell_angle_beta 90.00
_cell_angle_gamma 90.00
loop_
_atom_site_label
_atom_site_fract_x
_atom_site_fract_y
_atom_site_fract_z
_atom_site_occupancy
K1 0.000 0.000 0.000 1
Mn1 0.000 0.000 0.500 1
Mn2 0.000 0.500 0.750 1
Pt1 0.000 0.500 0.250 1
```

[5]
The following is a DFT calculation (GGA-PBE) of crystalline Li2CuPO4 at its relaxed geometry.

Values from the calculation:
The calculation puts the formation energy from raw total energies at -1.92 eV/atom. The final energy comes out at -6.069 eV per atom. The value obtained for the calculated volume is 88.1 Å³/f.u. The total magnetization is 0.374 Bohr magnetons per cell.

CIF file:
```
data_Li2CuPO4
_chemical_formula_sum 'Li8 Cu4 P4 O16'
_symmetry_space_group_name_H-M 'C 1 2/m 1'
_symmetry_Int_Tables_number 12
_symmetry_space_group_name_Hall '-C 2y'
_cell_length_a 7.338
_cell_length_b 7.723
_cell_length_c 6.217
_cell_angle_alpha 90.00
_cell_angle_beta 90.33
_cell_angle_gamma 90.00
loop_
_atom_site_label
_atom_site_fract_x
_atom_site_fract_y
_atom_site_fract_z
_atom_site_occupancy
Li1 0.000 0.179 0.000 1
Li2 0.182 0.500 0.252 1
Cu1 0.000 0.187 0.500 1
P1 0.176 0.500 0.760 1
O1 0.048 0.339 0.765 1
O2 0.197 0.000 0.039 1
O3 0.212 0.000 0.453 1
```

[6]
The following is a DFT calculation (GGA-PBE) of crystalline Ac2NdRuO8 at its relaxed geometry.

Values from the calculation:
The calculation puts the formation energy from raw total energies at -2.25 eV/atom. The density of states at the Fermi level comes out at 0.222 states/eV per atom. The final energy comes out at -7.414 eV per atom. The value obtained for the calculated volume is 184.0 Å³/f.u. The total magnetization is 0.993 Bohr magnetons per cell.

CIF file:
```
data_Ac2NdRuO8
_chemical_formula_sum 'Ac2 Nd1 Ru1 O8'
_symmetry_space_group_name_H-M 'P 1 2/m 1'
_symmetry_Int_Tables_number 10
_symmetry_space_group_name_Hall '-P 2y'
_cell_length_a 4.502
_cell_length_b 7.345
_cell_length_c 5.604
_cell_angle_alpha 90.00
_cell_angle_beta 96.81
_cell_angle_gamma 90.00
loop_
_atom_site_label
_atom_site_fract_x
_atom_site_fract_y
_atom_site_fract_z
_atom_site_occupancy
Ac1 0.000 0.242 0.000 1
Nd1 0.500 0.500 0.500 1
Ru1 0.500 0.000 0.500 1
O1 0.048 0.500 0.251 1
O2 0.119 0.000 0.346 1
O3 0.431 0.204 0.725 1
```

[7]
The following is a DFT calculation (GGA-PBE) of crystalline Pu4NO5 at its relaxed geometry.

Values from the calculation:
The calculation puts the formation energy from raw total energies at -2.66 eV/atom. The density of states at the Fermi level comes out at 2.144 states/eV per atom. The final energy comes out at -11.708 eV per atom. The value obtained for the calculated volume is 151.3 Å³/f.u. The total magnetization is 38.000 Bohr magnetons per cell.

CIF file:
```
data_Pu4NO5
_chemical_formula_sum 'Pu8 N2 O10'
_symmetry_space_group_name_H-M 'I m m m'
_symmetry_Int_Tables_number 71
_symmetry_space_group_name_Hall '-I 2 2'
_cell_length_a 3.551
_cell_length_b 6.411
_cell_length_c 13.291
_cell_angle_alpha 90.00
_cell_angle_beta 90.00
_cell_angle_gamma 90.00
loop_
_atom_site_label
_atom_site_fract_x
_atom_site_fract_y
_atom_site_fract_z
_atom_site_occupancy
Pu1 0.000 0.000 0.210 1
Pu2 0.000 0.246 0.500 1
N1 0.000 0.000 0.000 1
O1 0.000 0.271 0.332 1
O2 0.000 0.500 0.000 1
```

[8]
The following is a DFT calculation (GGA-PBE) of crystalline LaAl2Ag at its relaxed geometry.

Values from the calculation:
The density of states at the Fermi level comes out at 0.528 states/eV per atom. The calculation puts the formation energy at -185.9 meV/atom. The final energy comes out at -4.002 eV per atom. The value obtained for the calculated volume is 86.9 Å³/f.u. The total magnetization is 0.000 Bohr magnetons per cell.

CIF file:
```
data_LaAl2Ag
_chemical_formula_sum 'La1 Al2 Ag1'
_symmetry_space_group_name_H-M 'P 4 m m'
_symmetry_Int_Tables_number 99
_symmetry_space_group_name_Hall 'P 4 -2'
_cell_length_a 3.441
_cell_length_b 3.441
_cell_length_c 7.339
_cell_angle_alpha 90.00
_cell_angle_beta 90.00
_cell_angle_gamma 90.00
loop_
_atom_site_label
_atom_site_fract_x
_atom_site_fract_y
_atom_site_fract_z
_atom_site_occupancy
La1 0.000 0.000 0.000 1
Al1 0.000 0.000 0.499 1
Al2 0.500 0.500 0.703 1
Ag1 0.500 0.500 0.318 1
```

[9]
The following is a DFT calculation (GGA-PBE) of crystalline TaTl2As at its relaxed geometry.

Values from the calculation:
The density of states at the Fermi level comes out at 0.675 states/eV per atom. The calculation puts the formation energy at 590.9 meV/atom. The final energy comes out at -4.718 eV per atom. The value obtained for the calculated volume is 87.6 Å³/f.u. The total magnetization is 0.000 Bohr magnetons per cell.

CIF file:
```
data_TaTl2As
_chemical_formula_sum 'Ta2 Tl4 As2'
_symmetry_space_group_name_H-M 'C m m m'
_symmetry_Int_Tables_number 65
_symmetry_space_group_name_Hall '-C 2 2'
_cell_length_a 6.290
_cell_length_b 9.108
_cell_length_c 3.059
_cell_angle_alpha 90.00
_cell_angle_beta 90.00
_cell_angle_gamma 90.00
loop_
_atom_site_label
_atom_site_fract_x
_atom_site_fract_y
_atom_site_fract_z
_atom_site_occupancy
Ta1 0.000 0.000 0.000 1
Tl1 0.250 0.250 0.500 1
As1 0.000 0.500 0.000 1
```

[10]
The following is a DFT calculation (GGA-PBE) of crystalline P2IrAu at its relaxed geometry.

Values from the calculation:
The density of states at the Fermi level comes out at 0.671 states/eV per atom. The calculation puts the formation energy at 302.3 meV/atom. The final energy comes out at -5.437 eV per atom. The value obtained for the calculated volume is 66.2 Å³/f.u. The total magnetization is 0.000 Bohr magnetons per cell.

CIF file:
```
data_P2IrAu
_chemical_formula_sum 'P8 Ir4 Au4'
_symmetry_space_group_name_H-M 'F m m m'
_symmetry_Int_Tables_number 69
_symmetry_space_group_name_Hall '-F 2 2'
_cell_length_a 5.434
_cell_length_b 6.935
_cell_length_c 7.031
_cell_angle_alpha 90.00
_cell_angle_beta 90.00
_cell_angle_gamma 90.00
loop_
_atom_site_label
_atom_site_fract_x
_atom_site_fract_y
_atom_site_fract_z
_atom_site_occupancy
P1 0.000 0.250 0.250 1
Ir1 0.000 0.000 0.000 1
Au1 0.000 0.000 0.500 1
```

[11]
The following is a DFT calculation (GGA-PBE) of crystalline Ca2AcCd at its relaxed geometry.

Values from the calculation:
The density of states at the Fermi level comes out at 1.270 states/eV per atom. The calculation puts the formation energy at -119.7 meV/atom. The final energy comes out at -2.376 eV per atom. The value obtained for the calculated volume is 150.0 Å³/f.u. The total magnetization is 0.000 Bohr magnetons per cell.

CIF file:
```
data_Ca2AcCd
_chemical_formula_sum 'Ca8 Ac4 Cd4'
_symmetry_space_group_name_H-M 'C m c m'
_symmetry_Int_Tables_number 63
_symmetry_space_group_name_Hall '-C 2c 2'
_cell_length_a 5.277
_cell_length_b 11.900
_cell_length_c 9.551
_cell_angle_alpha 90.00
_cell_angle_beta 90.00
_cell_angle_gamma 90.00
loop_
_atom_site_label
_atom_site_fract_x
_atom_site_fract_y
_atom_site_fract_z
_atom_site_occupancy
Ca1 0.000 0.150 0.057 1
Ac1 0.000 0.446 0.250 1
Cd1 0.000 0.264 0.750 1
```

[12]
The following is a DFT calculation (GGA-PBE) of crystalline Sr2TlZn2 at its relaxed geometry.

Values from the calculation:
The density of states at the Fermi level comes out at 0.557 states/eV per atom. The calculation puts the formation energy at -114.3 meV/atom. The final energy comes out at -1.770 eV per atom. The value obtained for the calculated volume is 160.1 Å³/f.u. The total magnetization is 0.000 Bohr magnetons per cell.

CIF file:
```
data_Sr2TlZn2
_chemical_formula_sum 'Sr4 Tl2 Zn4'
_symmetry_space_group_name_H-M 'I 4/m m m'
_symmetry_Int_Tables_number 139
_symmetry_space_group_name_Hall '-I 4 2'
_cell_length_a 6.203
_cell_length_b 6.203
_cell_length_c 8.323
_cell_angle_alpha 90.00
_cell_angle_beta 90.00
_cell_angle_gamma 90.00
loop_
_atom_site_label
_atom_site_fract_x
_atom_site_fract_y
_atom_site_fract_z
_atom_site_occupancy
Sr1 0.000 0.500 0.250 1
Tl1 0.000 0.000 0.000 1
Zn1 0.000 0.000 0.356 1
```

[13]
The following is a DFT calculation (GGA-PBE) of crystalline TbCuTe2 at its relaxed geometry.

Values from the calculation:
The calculation puts the formation energy from raw total energies at -0.74 eV/atom. The final energy comes out at -4.496 eV per atom. The value obtained for the calculated volume is 146.8 Å³/f.u. The total magnetization is 0.000 Bohr magnetons per cell.

CIF file:
```
data_TbCuTe2
_chemical_formula_sum 'Tb3 Cu3 Te6'
_symmetry_space_group_name_H-M 'R -3 m'
_symmetry_Int_Tables_number 166
_symmetry_space_group_name_Hall '-R 3 2"'
_cell_length_a 4.5481
_cell_length_b 4.5481
_cell_length_c 24.5910
_cell_angle_alpha 90.00
_cell_angle_beta 90.00
_cell_angle_gamma 120.00
loop_
_atom_site_label
_atom_site_fract_x
_atom_site_fract_y
_atom_site_fract_z
_atom_site_occupancy
Tb1 0.0000 0.0000 0.0000 1
Cu1 0.0000 0.0000 0.5000 1
Te1 0.0000 0.0000 0.4008 1
```

The following ρ values (in g/cm3) correspond, in order, to the records above: 3.5, 6.6, 12.2, 7.3, 3.3, 7.5, 11.7, 5.7, 12.6, 11.3, 4.6, 5.3, 5.4.